1.
Density functional theory data (PBE-GGA) for Tl3WCl after structural relaxation.

Cell lengths 5.4932, 5.4932, 5.4932 Å; angles 90.00, 90.00, 90.00 degrees
Last column: nearest neighbours and their distance in Å.
Space group Pm-3m (No. 221)
One atom of each set of equivalent atoms:
Tl  0.0000  0.0000  0.5000 (multiplicity 3)  2 W 2.75
W  0.0000  0.0000  0.0000 (multiplicity 1)  6 Tl 2.75
Cl  0.5000  0.5000  0.5000 (multiplicity 1)  12 Tl 3.88

Values from the calculation:
E_form (uncorrected) = 0.576 eV per atom
V = 33.2 Å³ per atom
D(E_F) = 4.21 states/eV per cell

=====

2.
Density functional theory data (PBE-GGA) for TlWCl4 after structural relaxation.

Cell lengths 15.9942, 7.6189, 6.8036 Å; angles 90.00, 110.37, 90.00 degrees
Last column: nearest neighbours and their distance in Å.
Space group C2/m (No. 12)
One atom of each set of equivalent atoms:
Tl  0.2142  0.0000  0.2668 (multiplicity 4)  5 Cl 3.13-3.36
W  0.0600  0.5000  0.1865 (multiplicity 4)  5 Cl 2.33-2.44, 1 W 2.59
Cl  0.0000  0.2332  0.0000 (multiplicity 4)  2 W 2.41
Cl  0.1159  0.2885  0.4718 (multiplicity 8)  1 W 2.44
Cl  0.1882  0.5000  0.0978 (multiplicity 4)  1 W 2.33

Values from the calculation:
E_form (uncorrected) = -0.713 eV per atom
V = 32.4 Å³ per atom

=====

3.
Density functional theory data (PBE-GGA) for Tl2WCl6 after structural relaxation.

Cell lengths 10.0730, 10.0730, 10.0730 Å; angles 90.00, 90.00, 90.00 degrees
Last column: nearest neighbours and their distance in Å.
Space group Fm-3m (No. 225)
One atom of each set of equivalent atoms:
Tl  0.2500  0.2500  0.2500 (multiplicity 8)  12 Cl 3.56
W  0.0000  0.0000  0.0000 (multiplicity 4)  6 Cl 2.39
Cl  0.0000  0.0000  0.2373 (multiplicity 24)  1 W 2.39

Values from the calculation:
E_form (uncorrected) = -0.930 eV per atom
V = 28.4 Å³ per atom
D(E_F) = 28.75 states/eV per cell

=====

4.
Density functional theory data (PBE-GGA) for Tl2WCl6 after structural relaxation.

Cell lengths 12.2365, 7.0729, 6.1712 Å; angles 90.00, 90.54, 90.00 degrees
Last column: nearest neighbours and their distance in Å.
Space group C2/m (No. 12)
One atom of each set of equivalent atoms:
Tl  0.1679  0.0000  0.1895 (multiplicity 4)  9 Cl 3.29-3.55
W  0.0000  0.5000  0.0000 (multiplicity 2)  6 Cl 2.39
Cl  0.0798  0.2591  0.7801 (multiplicity 8)  1 W 2.39
Cl  0.1614  0.5000  0.2220 (multiplicity 4)  1 W 2.39

Values from the calculation:
E_form (uncorrected) = -0.917 eV per atom
V = 29.7 Å³ per atom
D(E_F) = 14.99 states/eV per cell

=====

5.
Density functional theory data (PBE-GGA) for Tl2WCl after structural relaxation.

Cell lengths 3.0483, 3.0483, 10.1907 Å; angles 90.00, 90.00, 90.00 degrees
Last column: nearest neighbours and their distance in Å.
Space group P4mm (No. 99)
One atom of each set of equivalent atoms:
Tl  0.0000  0.0000  0.0000 (multiplicity 1)  4 Tl 3.05
Tl  0.5000  0.5000  0.2941 (multiplicity 1)  4 Tl 3.05, 4 W 3.14
W  0.0000  0.0000  0.5188 (multiplicity 1)  4 Cl 2.65
Cl  0.5000  0.5000  0.6695 (multiplicity 1)  4 W 2.65

Values from the calculation:
E_form (uncorrected) = 0.546 eV per atom
V = 23.7 Å³ per atom
D(E_F) = 2.41 states/eV per cell

=====

6.
Density functional theory data (PBE-GGA) for Tl2WCl after structural relaxation.

Cell lengths 2.9724, 4.4952, 14.7551 Å; angles 90.00, 90.00, 90.00 degrees
Last column: nearest neighbours and their distance in Å.
Space group Immm (No. 71)
One atom of each set of equivalent atoms:
Tl  0.0000  0.0000  0.1812 (multiplicity 4)  2 Tl 2.97, 2 W 3.06
W  0.0000  0.5000  0.5000 (multiplicity 2)  4 Cl 2.69, 2 W 2.97
Cl  0.0000  0.5000  0.0000 (multiplicity 2)  4 W 2.69, 2 Cl 2.97

Values from the calculation:
E_form (uncorrected) = 0.697 eV per atom
V = 24.6 Å³ per atom
D(E_F) = 5.44 states/eV per cell